Entry 1:
## Tl2CoAs (PBE)

Data for Tl2CoAs after structural relaxation.

Summary:
* magnetic moment: 0.000 μB/f.u.
* volume: 24.92 Å³/atom

Geometry as CIF:
```
data_Tl2CoAs
_cell_length_a 9.5760
_cell_length_b 9.5760
_cell_length_c 4.3482
_cell_angle_alpha 90.00
_cell_angle_beta 90.00
_cell_angle_gamma 90.00
_space_group_name_H-M_alt 'I -4 2 d'
_space_group_IT_number 122
_space_group_name_Hall 'I -4 2bw'
loop_
_atom_site_label
_atom_site_type_symbol
_atom_site_fract_x
_atom_site_fract_y
_atom_site_fract_z
Tl1 Tl 0.1229 0.7500 0.1250
Co1 Co 0.0000 0.0000 0.0000
As1 As 0.0000 0.0000 0.5000
```

Entry 2:
## TmCo2As2 (PBE)

Data for TmCo2As2 after structural relaxation.

Summary:
* magnetic moment: 0.000 μB/f.u.
* volume: 16.51 Å³/atom

Geometry as CIF:
```
data_TmCo2As2
_cell_length_a 5.0856
_cell_length_b 9.5277
_cell_length_c 13.6314
_cell_angle_alpha 90.00
_cell_angle_beta 90.00
_cell_angle_gamma 90.00
_space_group_name_H-M_alt 'F d d d'
_space_group_IT_number 70
loop_
_space_group_symop_operation_xyz
'x,y,z'
'-x,-y,-z'
'-x+1/4,-y+1/4,z'
'x+1/4,y+1/4,-z'
'x,-y+1/4,-z+1/4'
'-x,y+1/4,z+1/4'
'-x+1/4,y,-z+1/4'
'x+1/4,-y,z+1/4'
'x,y+1/2,z+1/2'
'-x,-y+1/2,-z+1/2'
'-x+1/4,-y+3/4,z+1/2'
'x+1/4,y+3/4,-z+1/2'
'x,-y+3/4,-z+3/4'
'-x,y+3/4,z+3/4'
'-x+1/4,y+1/2,-z+3/4'
'x+1/4,-y+1/2,z+3/4'
'x+1/2,y,z+1/2'
'-x+1/2,-y,-z+1/2'
'-x+3/4,-y+1/4,z+1/2'
'x+3/4,y+1/4,-z+1/2'
'x+1/2,-y+1/4,-z+3/4'
'-x+1/2,y+1/4,z+3/4'
'-x+3/4,y,-z+3/4'
'x+3/4,-y,z+3/4'
'x+1/2,y+1/2,z'
'-x+1/2,-y+1/2,-z'
'-x+3/4,-y+3/4,z'
'x+3/4,y+3/4,-z'
'x+1/2,-y+3/4,-z+1/4'
'-x+1/2,y+3/4,z+1/4'
'-x+3/4,y+1/2,-z+1/4'
'x+3/4,-y+1/2,z+1/4'
loop_
_atom_site_label
_atom_site_type_symbol
_atom_site_fract_x
_atom_site_fract_y
_atom_site_fract_z
Tm1 Tm 0.1250 0.1250 0.1250
Co1 Co 0.1250 0.3105 0.6250
As1 As 0.1250 0.1250 0.5075
```

Entry 3:
## TmCo5As3 (PBE)

Data for TmCo5As3 after structural relaxation.

Summary:
* magnetic moment: 0.399 μB/f.u.
* volume: 14.22 Å³/atom

Geometry as CIF:
```
data_TmCo5As3
_cell_length_a 3.6739
_cell_length_b 11.9121
_cell_length_c 11.6937
_cell_angle_alpha 90.00
_cell_angle_beta 90.00
_cell_angle_gamma 90.00
_space_group_name_H-M_alt 'C m c m'
_space_group_IT_number 63
_space_group_name_Hall '-C 2c 2'
loop_
_atom_site_label
_atom_site_type_symbol
_atom_site_fract_x
_atom_site_fract_y
_atom_site_fract_z
Tm1 Tm 0.0000 0.1460 0.2500
Co1 Co 0.0000 0.0000 0.0000
Co2 Co 0.0000 0.1954 0.5704
Co3 Co 0.0000 0.4500 0.1433
As1 As 0.0000 0.1136 0.7500
As2 As 0.0000 0.3801 0.5443
```

Entry 4:
## TmCo3As3 (PBE)

Data for TmCo3As3 after structural relaxation.

Summary:
* magnetic moment: 0.000 μB/f.u.
* volume: 18.14 Å³/atom

Geometry as CIF:
```
data_TmCo3As3
_cell_length_a 6.3325
_cell_length_b 6.3325
_cell_length_c 6.3325
_cell_angle_alpha 90.00
_cell_angle_beta 90.00
_cell_angle_gamma 90.00
_space_group_name_H-M_alt 'P m -3 n'
_space_group_IT_number 223
_space_group_name_Hall '-P 4n 2 3'
loop_
_atom_site_label
_atom_site_type_symbol
_atom_site_fract_x
_atom_site_fract_y
_atom_site_fract_z
Tm1 Tm 0.0000 0.0000 0.0000
Co1 Co 0.0000 0.2500 0.5000
As1 As 0.0000 0.5000 0.2500
```

Entry 5:
## Tm2Co12As7 (PBE)

Data for Tm2Co12As7 after structural relaxation.

Summary:
* magnetic moment: 5.622 μB/f.u.
* volume: 13.34 Å³/atom

Geometry as CIF:
```
data_Tm2Co12As7
_cell_length_a 9.3433
_cell_length_b 9.3433
_cell_length_c 3.7058
_cell_angle_alpha 90.00
_cell_angle_beta 90.00
_cell_angle_gamma 120.00
_space_group_name_H-M_alt 'P -6'
_space_group_IT_number 174
_space_group_name_Hall 'P -6'
loop_
_atom_site_label
_atom_site_type_symbol
_atom_site_fract_x
_atom_site_fract_y
_atom_site_fract_z
Tm1 Tm 0.0000 0.0000 0.0000
Tm2 Tm 0.3333 0.6667 0.5000
Co1 Co 0.0470 0.2806 0.5000
Co2 Co 0.1024 0.7102 0.0000
Co3 Co 0.3895 0.1782 0.0000
Co4 Co 0.5393 0.4349 0.5000
As1 As 0.0748 0.4504 0.0000
As2 As 0.2599 0.2195 0.5000
As3 As 0.6667 0.3333 0.0000
```

Entry 6:
## Tm4CoAs (PBE)

Data for Tm4CoAs after structural relaxation.

Summary:
* magnetic moment: 0.000 μB/f.u.
* volume: 25.22 Å³/atom

Geometry as CIF:
```
data_Tm4CoAs
_cell_length_a 14.4066
_cell_length_b 6.7273
_cell_length_c 6.6905
_cell_angle_alpha 90.00
_cell_angle_beta 111.01
_cell_angle_gamma 90.00
_space_group_name_H-M_alt 'C 1 2/c 1'
_space_group_IT_number 15
_space_group_name_Hall '-C 2yc'
loop_
_atom_site_label
_atom_site_type_symbol
_atom_site_fract_x
_atom_site_fract_y
_atom_site_fract_z
Tm1 Tm 0.1145 0.0502 0.0286
Tm2 Tm 0.1437 0.4558 0.6487
Co1 Co 0.2500 0.2500 0.0000
As1 As 0.0000 0.2792 0.2500
```

Entry 7:
## UCo3As2 (PBE)

Data for UCo3As2 after structural relaxation.

Summary:
* magnetic moment: 1.302 μB/f.u.
* volume: 14.53 Å³/atom

Geometry as CIF:
```
data_UCo3As2
_cell_length_a 15.6004
_cell_length_b 3.7984
_cell_length_c 9.2672
_cell_angle_alpha 90.00
_cell_angle_beta 107.75
_cell_angle_gamma 90.00
_space_group_name_H-M_alt 'C 1 2/m 1'
_space_group_IT_number 12
_space_group_name_Hall '-C 2y'
loop_
_atom_site_label
_atom_site_type_symbol
_atom_site_fract_x
_atom_site_fract_y
_atom_site_fract_z
U1 U 0.0000 0.0000 0.0000
U2 U 0.1611 0.0000 0.6993
Co1 Co 0.0000 0.5000 0.5000
Co2 Co 0.0436 0.0000 0.3312
Co3 Co 0.1104 0.5000 0.1883
Co4 Co 0.1812 0.5000 0.9694
Co5 Co 0.2164 0.0000 0.3920
As1 As 0.0426 0.5000 0.7791
As2 As 0.1390 0.5000 0.4506
As3 As 0.1958 0.0000 0.1277
```

Entry 8:
## UCoAs (PBE)

Data for UCoAs after structural relaxation.

Summary:
* magnetic moment: 1.767 μB/f.u.
* volume: 17.57 Å³/atom

Geometry as CIF:
```
data_UCoAs
_cell_length_a 4.0939
_cell_length_b 4.0228
_cell_length_c 6.4329
_cell_angle_alpha 90.00
_cell_angle_beta 95.79
_cell_angle_gamma 90.00
_space_group_name_H-M_alt 'P 1 21/m 1'
_space_group_IT_number 11
_space_group_name_Hall '-P 2yb'
loop_
_atom_site_label
_atom_site_type_symbol
_atom_site_fract_x
_atom_site_fract_y
_atom_site_fract_z
U1 U 0.2074 0.2500 0.1749
Co1 Co 0.2622 0.7500 0.4952
As1 As 0.2754 0.2500 0.7210
```

Entry 9:
## U2Co3As (PBE)

Data for U2Co3As after structural relaxation.

Summary:
* magnetic moment: 0.046 μB/f.u.
* volume: 15.60 Å³/atom

Geometry as CIF:
```
data_U2Co3As
_cell_length_a 6.1133
_cell_length_b 8.3609
_cell_length_c 14.6460
_cell_angle_alpha 90.00
_cell_angle_beta 90.00
_cell_angle_gamma 90.00
_space_group_name_H-M_alt 'F m m m'
_space_group_IT_number 69
_space_group_name_Hall '-F 2 2'
loop_
_atom_site_label
_atom_site_type_symbol
_atom_site_fract_x
_atom_site_fract_y
_atom_site_fract_z
U1 U 0.2171 0.0000 0.0000
U2 U 0.2500 0.2500 0.2500
Co1 Co 0.0000 0.0000 0.1758
Co2 Co 0.0000 0.2462 0.4152
As1 As 0.0000 0.0000 0.3394
```

Entry 10:
## UCo3As3 (PBE)

Data for UCo3As3 after structural relaxation.

Summary:
* magnetic moment: 2.865 μB/f.u.
* volume: 18.01 Å³/atom

Geometry as CIF:
```
data_UCo3As3
_cell_length_a 6.3181
_cell_length_b 6.3181
_cell_length_c 6.3181
_cell_angle_alpha 90.00
_cell_angle_beta 90.00
_cell_angle_gamma 90.00
_space_group_name_H-M_alt 'P m -3 n'
_space_group_IT_number 223
_space_group_name_Hall '-P 4n 2 3'
loop_
_atom_site_label
_atom_site_type_symbol
_atom_site_fract_x
_atom_site_fract_y
_atom_site_fract_z
U1 U 0.0000 0.0000 0.0000
Co1 Co 0.0000 0.2500 0.5000
As1 As 0.0000 0.5000 0.2500
```

Entry 11:
## UCoAs3 (PBE)

Data for UCoAs3 after structural relaxation.

Summary:
* magnetic moment: 1.505 μB/f.u.
* volume: 17.92 Å³/atom

Geometry as CIF:
```
data_UCoAs3
_cell_length_a 11.6052
_cell_length_b 5.6345
_cell_length_c 5.4801
_cell_angle_alpha 90.00
_cell_angle_beta 90.00
_cell_angle_gamma 90.00
_space_group_name_H-M_alt 'P b c m'
_space_group_IT_number 57
_space_group_name_Hall '-P 2c 2b'
loop_
_atom_site_label
_atom_site_type_symbol
_atom_site_fract_x
_atom_site_fract_y
_atom_site_fract_z
U1 U 0.1956 0.0057 0.2500
Co1 Co 0.4112 0.7500 0.0000
As1 As 0.0013 0.7500 0.0000
As2 As 0.2689 0.5092 0.2500
As3 As 0.4393 0.1005 0.2500
```

Entry 12:
## U2Co5As3 (PBE)

Data for U2Co5As3 after structural relaxation.

Summary:
* magnetic moment: 0.004 μB/f.u.
* volume: 14.94 Å³/atom

Geometry as CIF:
```
data_U2Co5As3
_cell_length_a 3.9291
_cell_length_b 23.1374
_cell_length_c 6.5733
_cell_angle_alpha 90.00
_cell_angle_beta 90.00
_cell_angle_gamma 90.00
_space_group_name_H-M_alt 'C m c 21'
_space_group_IT_number 36
_space_group_name_Hall 'C 2c -2'
loop_
_atom_site_label
_atom_site_type_symbol
_atom_site_fract_x
_atom_site_fract_y
_atom_site_fract_z
U1 U 0.0000 0.0034 0.0000
U2 U 0.0000 0.3222 0.9879
Co1 Co 0.0000 0.1094 0.6215
Co2 Co 0.0000 0.2068 0.1512
Co3 Co 0.0000 0.2220 0.7357
Co4 Co 0.0000 0.3723 0.5779
Co5 Co 0.0000 0.4664 0.7556
As1 As 0.0000 0.1066 0.2585
As2 As 0.0000 0.2786 0.4369
As3 As 0.0000 0.4282 0.2647
```

Entry 13:
## U3Co2As3 (PBE)

Data for U3Co2As3 after structural relaxation.

Summary:
* magnetic moment: 6.238 μB/f.u.
* volume: 18.28 Å³/atom

Geometry as CIF:
```
data_U3Co2As3
_cell_length_a 4.0558
_cell_length_b 10.3075
_cell_length_c 13.9922
_cell_angle_alpha 90.00
_cell_angle_beta 90.00
_cell_angle_gamma 90.00
_space_group_name_H-M_alt 'C m c m'
_space_group_IT_number 63
_space_group_name_Hall '-C 2c 2'
loop_
_atom_site_label
_atom_site_type_symbol
_atom_site_fract_x
_atom_site_fract_y
_atom_site_fract_z
U1 U 0.0000 0.0660 0.1048
U2 U 0.0000 0.3504 0.2500
Co1 Co 0.0000 0.2273 0.6077
As1 As 0.0000 0.3619 0.0445
As2 As 0.0000 0.3633 0.7500
```

Entry 14:
## U3Co3As4 (PBE)

Data for U3Co3As4 after structural relaxation.

Summary:
* magnetic moment: 3.013 μB/f.u.
* volume: 17.29 Å³/atom

Geometry as CIF:
```
data_U3Co3As4
_cell_length_a 8.8442
_cell_length_b 8.8442
_cell_length_c 8.8442
_cell_angle_alpha 90.00
_cell_angle_beta 90.00
_cell_angle_gamma 90.00
_space_group_name_H-M_alt 'I -4 3 d'
_space_group_IT_number 220
_space_group_name_Hall 'I -4bd 2c 3'
loop_
_atom_site_label
_atom_site_type_symbol
_atom_site_fract_x
_atom_site_fract_y
_atom_site_fract_z
U1 U 0.0000 0.2500 0.8750
Co1 Co 0.0000 0.2500 0.3750
As1 As 0.0822 0.4178 0.5822
```

Entry 15:
## UCo12As6 (PBE)

Data for UCo12As6 after structural relaxation.

Summary:
* magnetic moment: 1.962 μB/f.u.
* volume: 13.42 Å³/atom

Geometry as CIF:
```
data_UCo12As6
_cell_length_a 10.7410
_cell_length_b 10.7410
_cell_length_c 7.6558
_cell_angle_alpha 90.00
_cell_angle_beta 90.00
_cell_angle_gamma 120.00
_space_group_name_H-M_alt 'R -3 m'
_space_group_IT_number 166
_space_group_name_Hall '-R 3 2"'
loop_
_atom_site_label
_atom_site_type_symbol
_atom_site_fract_x
_atom_site_fract_y
_atom_site_fract_z
U1 U 0.0000 0.0000 0.0000
Co1 Co 0.0000 0.3740 0.5000
Co2 Co 0.0788 0.1576 0.3369
As1 As 0.0344 0.5172 0.2664
```

Entry 16:
## UCo5As3 (PBE)

Data for UCo5As3 after structural relaxation.

Summary:
* magnetic moment: 1.652 μB/f.u.
* volume: 14.21 Å³/atom

Geometry as CIF:
```
data_UCo5As3
_cell_length_a 3.6739
_cell_length_b 11.9153
_cell_length_c 11.6824
_cell_angle_alpha 90.00
_cell_angle_beta 90.00
_cell_angle_gamma 90.00
_space_group_name_H-M_alt 'C m c m'
_space_group_IT_number 63
_space_group_name_Hall '-C 2c 2'
loop_
_atom_site_label
_atom_site_type_symbol
_atom_site_fract_x
_atom_site_fract_y
_atom_site_fract_z
U1 U 0.0000 0.1499 0.2500
Co1 Co 0.0000 0.0000 0.0000
Co2 Co 0.0000 0.1951 0.5685
Co3 Co 0.0000 0.4486 0.1431
As1 As 0.0000 0.1171 0.7500
As2 As 0.0000 0.3802 0.5451
```

Entry 17:
## UCoAs (PBE)

Data for UCoAs after structural relaxation.

Summary:
* magnetic moment: 0.000 μB/f.u.
* volume: 17.04 Å³/atom

Geometry as CIF:
```
data_UCoAs
_cell_length_a 2.7657
_cell_length_b 2.7657
_cell_length_c 13.3643
_cell_angle_alpha 90.00
_cell_angle_beta 90.00
_cell_angle_gamma 90.00
_space_group_name_H-M_alt 'I 4 m m'
_space_group_IT_number 107
_space_group_name_Hall 'I 4 -2'
loop_
_atom_site_label
_atom_site_type_symbol
_atom_site_fract_x
_atom_site_fract_y
_atom_site_fract_z
U1 U 0.0000 0.0000 0.0000
Co1 Co 0.0000 0.0000 0.8275
As1 As 0.0000 0.0000 0.2195
```

Entry 18:
## U4Co3As8 (PBE)

Data for U4Co3As8 after structural relaxation.

Summary:
* magnetic moment: 2.866 μB/f.u.
* volume: 18.51 Å³/atom

Geometry as CIF:
```
data_U4Co3As8
_cell_length_a 4.0054
_cell_length_b 4.0054
_cell_length_c 17.3105
_cell_angle_alpha 90.00
_cell_angle_beta 90.00
_cell_angle_gamma 90.00
_space_group_name_H-M_alt 'P -4 m 2'
_space_group_IT_number 115
_space_group_name_Hall 'P -4 -2'
loop_
_atom_site_label
_atom_site_type_symbol
_atom_site_fract_x
_atom_site_fract_y
_atom_site_fract_z
U1 U 0.0000 0.5000 0.1123
U2 U 0.0000 0.5000 0.6263
Co1 Co 0.0000 0.0000 0.0000
Co2 Co 0.0000 0.0000 0.5000
Co3 Co 0.5000 0.5000 0.5000
As1 As 0.0000 0.0000 0.2437
As2 As 0.0000 0.5000 0.4196
As3 As 0.0000 0.5000 0.9280
As4 As 0.5000 0.5000 0.2437
```

The records above give, respectively, energy of formation from the pure elements values of 0.207 -0.445 -0.413 -0.152 -0.465 -0.458 -0.440 -0.449 -0.266 -0.013 -0.489 -0.347 -0.535 -0.668 -0.094 -0.299 0.278 -0.599 eV/atom.
The records above give, respectively, total DFT energy (no corrections) values of -62.634 -241.667 -230.667 -81.597 -136.532 -129.555 -267.252 -48.783 -401.092 -93.289 -139.155 -302.079 -265.214 -321.825 -378.742 -253.845 -44.420 -112.645 eV for the cell shown.